[1]
This record from Alexandria via LeMat-Bulk describes a crystal of ZnRh2Se relaxed with PBEsol. The functional is SCAN.

Values from the calculation:
As for the density of states at the Fermi level: 0.56 states/eV per atom. The final energy comes out at -25.386 eV/atom. As for the calculated volume: 14.83 A^3/atom. Its formation energy (no corrections) is -0.1016 eV/atom.

abc: 2.9227 4.5172 4.6802
angles: 90.00 106.29 90.00
Closest atoms and distances in Å follow each position.
Element x y z (fractional)
Se: 0.6641 0.0000 0.4530  5 Rh 2.38-2.50
Zn: 0.2924 0.5000 0.7557  3 Rh 2.39-2.58
Rh: 0.9547 0.0000 0.0048  3 Se 2.47-2.50
Rh: 0.5888 0.5000 0.2866  2 Se 2.38, 3 Zn 2.39-2.58

[2]
This record from Alexandria via LeMat-Bulk describes a crystal of ZnRh2Se relaxed with PBEsol. The functional is SCAN.

Values from the calculation:
As for the density of states at the Fermi level: 0.90 states/eV per atom. The final energy comes out at -25.073 eV/atom. As for the calculated volume: 14.51 A^3/atom. Its formation energy (no corrections) is 0.2115 eV/atom.

abc: 4.3460 4.3460 4.3460
angles: 60.00 60.00 60.00
Closest atoms and distances in Å follow each position.
Element x y z (fractional)
Zn: 0.2500 0.2500 0.2500  4 Se 2.66, 4 Rh 2.66
Rh: 0.7500 0.7500 0.7500  4 Se 2.66, 4 Rh 2.66
Rh: 0.0000 0.0000 0.0000  4 Rh 2.66, 4 Zn 2.66
Se: 0.5000 0.5000 0.5000  4 Rh 2.66, 4 Zn 2.66

[3]
This record from Alexandria via LeMat-Bulk describes a crystal of ZnRhSe2 relaxed with PBEsol. The functional is SCAN.

Values from the calculation:
As for the density of states at the Fermi level: 0.31 states/eV per atom. The final energy comes out at -22.084 eV/atom. As for the calculated volume: 19.09 A^3/atom. Its formation energy (no corrections) is -0.2226 eV/atom.

abc: 3.6499 4.6344 5.0731
angles: 117.13 90.00 90.00
Closest atoms and distances in Å follow each position.
Element x y z (fractional)
Zn: 0.5000 0.5000 0.5000  2 Rh 2.54
Rh: 0.5000 0.5000 0.0000  4 Se 2.43, 2 Zn 2.54
Se: 0.0000 0.1114 0.8188  2 Rh 2.43, 1 Se 2.49
Se: 0.0000 0.8886 0.1812  2 Rh 2.43, 1 Se 2.49

[4]
This record from Alexandria via LeMat-Bulk describes a crystal of ZnRhSe2 relaxed with PBEsol. The functional is SCAN.

Values from the calculation:
As for the density of states at the Fermi level: 0.74 states/eV per atom. The final energy comes out at -21.977 eV/atom. As for the calculated volume: 17.65 A^3/atom. Its formation energy (no corrections) is -0.1160 eV/atom.

abc: 3.2883 3.2883 6.5297
angles: 90.00 90.00 90.00
Closest atoms and distances in Å follow each position.
Element x y z (fractional)
Se: 0.0000 0.0000 0.9099  4 Rh 2.56, 1 Zn 2.64
Se: 0.5000 0.5000 0.3372  4 Zn 2.57, 1 Rh 2.67
Zn: 0.0000 0.0000 0.5062  5 Se 2.57-2.64, 4 Rh 2.81
Rh: 0.5000 0.5000 0.7466  5 Se 2.56-2.67, 4 Zn 2.81

[5]
This record from Alexandria via LeMat-Bulk describes a crystal of Zr3RhSe relaxed with PBEsol. The functional is SCAN.

Values from the calculation:
As for the density of states at the Fermi level: 0.70 states/eV per atom. The final energy comes out at -29.224 eV/atom. As for the calculated volume: 24.23 A^3/atom. Its formation energy (no corrections) is -0.0352 eV/atom.

abc: 4.9485 4.9485 4.9485
angles: 90.00 90.00 90.00
Closest atoms and distances in Å follow each position.
Element x y z (fractional)
Zr: 0.0000 0.0000 0.5000  2 Rh 2.47
Zr: 0.5000 0.0000 0.0000  2 Rh 2.47
Zr: 0.0000 0.5000 0.0000  2 Rh 2.47
Se: 0.5000 0.5000 0.5000  12 Zr 3.50
Rh: 0.0000 0.0000 0.0000  6 Zr 2.47

[6]
This record from Alexandria via LeMat-Bulk describes a crystal of Si2Rh relaxed with PBEsol. The functional is SCAN.

Values from the calculation:
As for the density of states at the Fermi level: 0.54 states/eV per atom. The final energy comes out at -18.265 eV/atom. As for the calculated volume: 13.53 A^3/atom. Its formation energy (no corrections) is -0.3304 eV/atom.

abc: 3.0510 6.7877 6.7877
angles: 120.00 90.00 90.00
Closest atoms and distances in Å follow each position.
Element x y z (fractional)
Si: 0.0000 0.0000 0.2832  4 Rh 2.45
Si: 0.0000 0.7168 0.7168  4 Rh 2.45
Si: 0.5000 0.0000 0.6203  5 Rh 2.58-2.61, 6 Si 2.75-2.78
Si: 0.5000 0.3797 0.3797  5 Rh 2.58-2.61, 6 Si 2.75-2.78
Si: 0.0000 0.2832 0.0000  4 Rh 2.45
Si: 0.5000 0.6203 0.0000  5 Rh 2.58-2.61, 6 Si 2.75-2.78
Rh: 0.0000 0.3333 0.6667  9 Si 2.45-2.61
Rh: 0.5000 0.0000 0.0000  9 Si 2.45-2.58
Rh: 0.0000 0.6667 0.3333  9 Si 2.45-2.61

[7]
This record from Alexandria via LeMat-Bulk describes a crystal of Si3Rh5 relaxed with PBEsol. The functional is SCAN.

Values from the calculation:
As for the density of states at the Fermi level: 0.53 states/eV per atom. The final energy comes out at -25.717 eV/atom. As for the calculated volume: 12.96 A^3/atom. Its formation energy (no corrections) is -0.8543 eV/atom.

abc: 3.8964 5.2712 10.0992
angles: 90.00 90.00 90.00
Closest atoms and distances in Å follow each position.
Element x y z (fractional)
Si: 0.5000 0.8910 0.6503  6 Rh 2.36-2.54
Si: 0.5000 0.3910 0.8497  6 Rh 2.36-2.54
Si: 0.5000 0.6090 0.1503  6 Rh 2.36-2.54
Si: 0.5000 0.1090 0.3497  6 Rh 2.36-2.54
Si: 0.0000 0.5000 0.5000  6 Rh 2.33-2.40
Si: 0.0000 0.0000 0.0000  6 Rh 2.33-2.40
Rh: 0.5000 0.3299 0.6068  4 Si 2.36-2.47
Rh: 0.0000 0.1552 0.7844  3 Si 2.33-2.40
Rh: 0.0000 0.8448 0.2156  3 Si 2.33-2.40
Rh: 0.5000 0.1701 0.1068  4 Si 2.36-2.47
Rh: 0.0000 0.6552 0.7156  3 Si 2.33-2.40
Rh: 0.0000 0.0000 0.5000  6 Si 2.54-2.64, 6 Rh 2.83-2.84
Rh: 0.5000 0.8299 0.8932  4 Si 2.36-2.47
Rh: 0.5000 0.6701 0.3932  4 Si 2.36-2.47
Rh: 0.0000 0.5000 0.0000  6 Si 2.54-2.64, 6 Rh 2.83-2.84
Rh: 0.0000 0.3448 0.2844  3 Si 2.33-2.40

[8]
This record from Alexandria via LeMat-Bulk describes a crystal of Si3Rh4 relaxed with PBEsol. The functional is SCAN.

Values from the calculation:
As for the density of states at the Fermi level: 0.82 states/eV per atom. The final energy comes out at -23.538 eV/atom. As for the calculated volume: 13.05 A^3/atom. Its formation energy (no corrections) is 0.0525 eV/atom.

abc: 4.5998 4.5998 4.9843
angles: 90.00 90.00 120.00
Closest atoms and distances in Å follow each position.
Element x y z (fractional)
Rh: 0.3333 0.6667 0.5000  9 Rh 2.66-2.93, 6 Si 2.82
Rh: 0.6667 0.3333 0.5000  9 Rh 2.66-2.93, 6 Si 2.82
Rh: 0.0000 0.0000 0.2524  2 Rh 2.47-2.52, 6 Si 2.62
Rh: 0.0000 0.0000 0.7476  2 Rh 2.47-2.52, 6 Si 2.62
Si: 0.0000 0.5000 0.0000  4 Si 2.30
Si: 0.5000 0.0000 0.0000  4 Si 2.30
Si: 0.5000 0.5000 0.0000  4 Si 2.30

[9]
This record from Alexandria via LeMat-Bulk describes a crystal of Si5Rh4 relaxed with PBEsol. The functional is SCAN.

Values from the calculation:
As for the density of states at the Fermi level: 0.13 states/eV per atom. The final energy comes out at -21.395 eV/atom. As for the calculated volume: 13.94 A^3/atom. Its formation energy (no corrections) is -0.8210 eV/atom.

abc: 3.5218 5.8925 12.2814
angles: 100.08 90.00 90.00
Closest atoms and distances in Å follow each position.
Element x y z (fractional)
Si: 0.2500 0.5122 0.0777  4 Rh 2.47-2.50, 5 Si 2.57-2.73
Si: 0.7500 0.6409 0.6352  6 Rh 2.37-2.57, 2 Si 2.62
Si: 0.2500 0.1083 0.5771  6 Rh 2.38-2.64
Si: 0.7500 0.0204 0.8602  6 Rh 2.40-2.57
Si: 0.2500 0.5329 0.7755  4 Rh 2.30-2.40, 2 Si 2.57
Si: 0.2500 0.9796 0.1398  6 Rh 2.40-2.57
Si: 0.7500 0.8917 0.4229  6 Rh 2.38-2.64
Si: 0.2500 0.3591 0.3648  6 Rh 2.37-2.57, 2 Si 2.62
Si: 0.7500 0.4878 0.9223  4 Rh 2.47-2.50, 5 Si 2.57-2.73
Si: 0.7500 0.4671 0.2245  4 Rh 2.30-2.40, 2 Si 2.57
Rh: 0.2500 0.8949 0.7269  6 Si 2.31-2.45
Rh: 0.7500 0.3013 0.4994  6 Si 2.37-2.48
Rh: 0.2500 0.7930 0.9497  7 Si 2.40-2.57
Rh: 0.2500 0.7156 0.2712  5 Si 2.30-2.57
Rh: 0.7500 0.1051 0.2731  6 Si 2.31-2.45
Rh: 0.2500 0.6987 0.5006  6 Si 2.37-2.48
Rh: 0.7500 0.2070 0.0503  7 Si 2.40-2.57
Rh: 0.7500 0.2844 0.7288  5 Si 2.30-2.57

[10]
This record from Alexandria via LeMat-Bulk describes a crystal of Si2Rh relaxed with PBEsol. The functional is SCAN.

Values from the calculation:
As for the density of states at the Fermi level: 0.48 states/eV per atom. The final energy comes out at -18.011 eV/atom. As for the calculated volume: 14.22 A^3/atom. Its formation energy (no corrections) is -0.0769 eV/atom.

abc: 2.6376 4.3217 4.3217
angles: 120.00 90.00 90.00
Closest atoms and distances in Å follow each position.
Element x y z (fractional)
Si: 0.9754 0.3333 0.6667  3 Rh 2.50, 5 Si 2.50-2.64
Si: 0.0246 0.6667 0.3333  3 Rh 2.50, 5 Si 2.50-2.64
Rh: 0.0000 0.0000 0.0000  6 Si 2.50, 2 Rh 2.64

[11]
This record from Alexandria via LeMat-Bulk describes a crystal of Si13Rh20 relaxed with PBEsol. The functional is SCAN.

Values from the calculation:
As for the density of states at the Fermi level: 0.59 states/eV per atom. The final energy comes out at -25.264 eV/atom. As for the calculated volume: 13.12 A^3/atom. Its formation energy (no corrections) is -0.8506 eV/atom.

abc: 3.6127 11.7624 11.7624
angles: 120.00 90.00 90.00
Closest atoms and distances in Å follow each position.
Element x y z (fractional)
Rh: 0.2514 0.9294 0.5391  5 Si 2.41-2.48
Rh: 0.2474 0.6667 0.3333  6 Si 2.50-2.51
Rh: 0.7486 0.5391 0.6097  5 Si 2.41-2.48
Rh: 0.2514 0.6097 0.0706  5 Si 2.41-2.48
Rh: 0.7507 0.0061 0.1890  4 Si 2.37-2.45
Rh: 0.7507 0.1830 0.9939  4 Si 2.37-2.45
Rh: 0.7507 0.8110 0.8170  4 Si 2.37-2.45
Rh: 0.2532 0.8733 0.2726  5 Si 2.41-2.48
Rh: 0.7468 0.6007 0.8733  5 Si 2.41-2.48
Rh: 0.7468 0.2726 0.3993  5 Si 2.41-2.48
Rh: 0.7486 0.0706 0.4609  5 Si 2.41-2.48
Rh: 0.7468 0.1267 0.7274  5 Si 2.41-2.48
Rh: 0.2532 0.7274 0.6007  5 Si 2.41-2.48
Rh: 0.2514 0.4609 0.3903  5 Si 2.41-2.48
Rh: 0.2493 0.9939 0.8110  4 Si 2.37-2.45
Rh: 0.2532 0.3993 0.1267  5 Si 2.41-2.48
Rh: 0.2493 0.8170 0.0061  4 Si 2.37-2.45
Rh: 0.7526 0.3333 0.6667  6 Si 2.50-2.51
Rh: 0.2493 0.1890 0.1830  4 Si 2.37-2.45
Rh: 0.7486 0.3903 0.9294  5 Si 2.41-2.48
Si: 0.7526 0.8904 0.6599  8 Rh 2.39-2.48
Si: 0.7507 0.8328 0.3839  7 Rh 2.41-2.51
Si: 0.2493 0.3839 0.5511  7 Rh 2.41-2.51
Si: 0.2474 0.1096 0.3401  8 Rh 2.39-2.48
Si: 0.2493 0.4489 0.8328  7 Rh 2.41-2.51
Si: 0.2493 0.1672 0.6161  7 Rh 2.41-2.51
Si: 0.7507 0.6161 0.4489  7 Rh 2.41-2.51
Si: 0.0000 0.0000 0.0000  6 Rh 2.37
Si: 0.7507 0.5511 0.1672  7 Rh 2.41-2.51
Si: 0.7526 0.3401 0.2305  8 Rh 2.39-2.48
Si: 0.2474 0.2305 0.8904  8 Rh 2.39-2.48
Si: 0.2474 0.6599 0.7695  8 Rh 2.39-2.48
Si: 0.7526 0.7695 0.1096  8 Rh 2.39-2.48

[12]
This record from Alexandria via LeMat-Bulk describes a crystal of Si5Rh relaxed with PBEsol. The functional is SCAN.

Values from the calculation:
As for the density of states at the Fermi level: 0.41 states/eV per atom. The final energy comes out at -13.673 eV/atom. As for the calculated volume: 13.64 A^3/atom. Its formation energy (no corrections) is 0.3020 eV/atom.

abc: 4.4673 4.4673 4.7338
angles: 90.00 90.00 120.00
Closest atoms and distances in Å follow each position.
Element x y z (fractional)
Rh: 0.0000 0.0000 0.5000  12 Si 2.58-2.79
Si: 0.6667 0.3333 0.5000  9 Si 2.58-2.80, 3 Rh 2.58
Si: 0.3287 0.3287 0.0000  10 Si 2.54-2.80, 2 Rh 2.79
Si: 0.3333 0.6667 0.5000  9 Si 2.58-2.80, 3 Rh 2.58
Si: 0.6713 0.0000 0.0000  10 Si 2.54-2.80, 2 Rh 2.79
Si: 0.0000 0.6713 0.0000  10 Si 2.54-2.80, 2 Rh 2.79